An optimized crystal structure of ThCoRu, computed with GGA-PBE.

Computed properties:
ΔE_f = 125 kJ/mol of formula units
SG = P6_222, No. 180
ρ = 11.048 g cm⁻³

Lattice parameters (Å, degrees): 6.0569 6.0569 11.1281 90.00 90.00 120.00
Last column: nearest neighbours and their distance in Å.
Sites, in units of the cell vectors:
Th  0.0000  0.5000  0.4029  2 Co 2.41
Th  0.0000  0.5000  0.9304  2 Co 2.41
Th  0.5000  0.0000  0.2637  2 Co 2.41
Th  0.5000  0.0000  0.7363  2 Co 2.41
Th  0.5000  0.5000  0.0696  2 Co 2.41
Th  0.5000  0.5000  0.5971  2 Co 2.41
Co  0.2070  0.6035  0.1667  1 Co 2.17, 2 Th 2.41
Co  0.3965  0.6035  0.8333  1 Co 2.17, 2 Th 2.41
Co  0.3965  0.7930  0.5000  1 Co 2.17, 2 Th 2.41
Co  0.6035  0.2070  0.5000  1 Co 2.17, 2 Th 2.41
Co  0.6035  0.3965  0.8333  1 Co 2.17, 2 Th 2.41
Co  0.7930  0.3965  0.1667  1 Co 2.17, 2 Th 2.41
Ru  0.0000  0.0000  0.1667  4 Th 3.22, 4 Co 3.22, 4 Ru 3.55
Ru  0.0000  0.0000  0.5000  4 Th 3.22, 4 Co 3.22, 4 Ru 3.55
Ru  0.0000  0.0000  0.8333  4 Th 3.22, 4 Co 3.22, 4 Ru 3.55
Ru  0.0000  0.5000  0.6667  4 Co 2.85, 6 Th 2.93-3.13
Ru  0.5000  0.0000  0.0000  4 Co 2.85, 6 Th 2.93-3.13
Ru  0.5000  0.5000  0.3333  4 Co 2.85, 6 Th 2.93-3.13